No. 1
KRhPb | GGA-PBEsol | relaxed

Cell: 4.7561 4.7561 4.7561 Å, 60.00 60.00 60.00°
With the nearest neighbours (Å) after each atom.
Fractional coordinates of all 3 atoms:
K 0.0000 0.0000 0.0000  4 Rh 2.91
Rh 0.7500 0.7500 0.7500  4 K 2.91, 4 Pb 2.91
Pb 0.5000 0.5000 0.5000  4 Rh 2.91

**ΔH_f (0 K)**: 0.41 eV per atom
**DOS at the Fermi energy**: 0.5659 states/eV per atom
**E_tot**: -12.031 eV for the cell shown

No. 2
KRh2Pb2 | GGA-PBEsol | relaxed

Cell: 7.0447 7.0447 7.0447 Å, 144.10 144.10 51.68°
With the nearest neighbours (Å) after each atom.
Fractional coordinates of all 5 atoms:
K 0.0000 0.0000 0.0000  8 Pb 3.49, 8 Rh 3.84
Rh 0.2500 0.7500 0.5000  4 Pb 2.65
Rh 0.7500 0.2500 0.5000  4 Pb 2.65
Pb 0.3696 0.3696 0.0000  4 Rh 2.65
Pb 0.6304 0.6304 0.0000  4 Rh 2.65

**ΔH_f (0 K)**: 0.00 eV per atom
**DOS at the Fermi energy**: 0.4664 states/eV per atom
**E_tot**: -25.427 eV for the cell shown

No. 3
KRuPb | GGA-PBEsol | relaxed

Cell: 4.7187 4.7187 4.7187 Å, 60.00 60.00 60.00°
With the nearest neighbours (Å) after each atom.
Fractional coordinates of all 3 atoms:
K 0.0000 0.0000 0.0000  4 Ru 2.89
Ru 0.2500 0.2500 0.2500  4 Pb 2.89, 4 K 2.89
Pb 0.5000 0.5000 0.5000  4 Ru 2.89

**ΔH_f (0 K)**: 0.95 eV per atom
**DOS at the Fermi energy**: 0.9901 states/eV per atom
**E_tot**: -12.465 eV for the cell shown

No. 4
KRu2Pb | GGA-PBEsol | relaxed

Cell: 4.2339 4.2339 4.1974 Å, 90.00 90.00 90.00°
With the nearest neighbours (Å) after each atom.
Fractional coordinates of all 4 atoms:
K 0.0000 0.0000 0.0000  8 Ru 2.98, 4 Pb 2.99
Ru 0.0000 0.5000 0.5000  4 Pb 2.98, 4 K 2.98, 4 Ru 2.99
Ru 0.5000 0.0000 0.5000  4 Pb 2.98, 4 K 2.98, 4 Ru 2.99
Pb 0.5000 0.5000 0.0000  8 Ru 2.98, 4 K 2.99

**ΔH_f (0 K)**: 1.31 eV per atom
**DOS at the Fermi energy**: 1.3361 states/eV per atom
**E_tot**: -20.239 eV for the cell shown

No. 5
KRu2Pb | GGA-PBEsol | relaxed

Cell: 2.9341 4.4360 6.9165 Å, 90.00 90.00 90.00°
With the nearest neighbours (Å) after each atom.
Fractional coordinates of all 4 atoms:
K 0.0000 0.0000 0.0000  2 K 2.93
Ru 0.5000 0.5000 0.3347  1 Ru 2.29
Ru 0.5000 0.5000 0.6653  1 Ru 2.29
Pb 0.0000 0.0000 0.5000  8 Ru 2.89, 2 Pb 2.93

**ΔH_f (0 K)**: 0.99 eV per atom
**DOS at the Fermi energy**: 0.6778 states/eV per atom
**E_tot**: -21.512 eV for the cell shown

No. 6
KPb2S2 | GGA-PBEsol | relaxed

Cell: 6.4058 6.4058 6.4058 Å, 130.53 130.53 72.56°
With the nearest neighbours (Å) after each atom.
Fractional coordinates of all 5 atoms:
K 0.0000 0.0000 0.0000  2 Pb 3.53, 8 S 3.72
Pb 0.3415 0.3415 0.0000  4 S 2.84
Pb 0.6585 0.6585 0.0000  4 S 2.84
S 0.2500 0.7500 0.5000  4 Pb 2.84
S 0.7500 0.2500 0.5000  4 Pb 2.84

**DOS at the Fermi energy**: 0.1955 states/eV per atom
**E_tot**: -20.468 eV for the cell shown
**ΔE_f (raw)**: -0.51 eV/atom

No. 7
KPb3S | GGA-PBEsol | relaxed

Cell: 5.8268 5.8268 5.8268 Å, 90.00 90.00 90.00°
With the nearest neighbours (Å) after each atom.
Fractional coordinates of all 5 atoms:
K 0.0000 0.0000 0.0000  6 Pb 2.91
Pb 0.0000 0.0000 0.5000  2 K 2.91
Pb 0.0000 0.5000 0.0000  2 K 2.91
Pb 0.5000 0.0000 0.0000  2 K 2.91
S 0.5000 0.5000 0.5000  12 Pb 4.12

**DOS at the Fermi energy**: 1.3192 states/eV per atom
**E_tot**: -11.049 eV for the cell shown
**ΔE_f (raw)**: 1.29 eV/atom

No. 8
KZrPb2S | GGA-PBEsol | relaxed

Cell: 5.6164 5.6164 4.8613 Å, 90.00 90.00 90.00°
With the nearest neighbours (Å) after each atom.
Fractional coordinates of all 5 atoms:
K 0.0000 0.0000 0.0000  2 Zr 2.43
Zr 0.0000 0.0000 0.5000  2 K 2.43
Pb 0.0000 0.5000 0.0000  2 K 2.81
Pb 0.5000 0.0000 0.0000  2 K 2.81
S 0.5000 0.5000 0.5000  8 Pb 3.71, 4 Zr 3.97

**DOS at the Fermi energy**: 0.7947 states/eV per atom
**E_tot**: -14.598 eV for the cell shown
**ΔE_f (raw)**: 1.60 eV/atom

no.,theoretical density (g/cm³)
1,7.62
2,9.16
3,7.76
4,9.90
5,8.27
6,5.79
7,5.81
8,6.25